# SmNp3S4

A relaxed SmNp3S4 crystal (PBE-GGA, the Alexandria database).

Cell and atoms, written as CIF:
```
data_SmNp3S4
_chemical_formula_sum 'Sm1 Np3 S4'
_symmetry_space_group_name_H-M 'P 1'
_symmetry_Int_Tables_number 1
_cell_length_a 6.812
_cell_length_b 6.812
_cell_length_c 3.930
_cell_angle_alpha 90.00
_cell_angle_beta 90.00
_cell_angle_gamma 109.43
loop_
_symmetry_equiv_pos_as_xyz
'x,y,z'
loop_
_atom_site_label
_atom_site_fract_x
_atom_site_fract_y
_atom_site_fract_z
Sm1 0.000 0.000 0.000
Np1 0.000 0.500 0.500
Np2 0.500 0.000 0.500
Np3 0.500 0.500 0.000
S1 0.254 0.746 0.000
S2 0.257 0.257 0.500
S3 0.743 0.743 0.500
S4 0.746 0.254 0.000
```

## Properties
The calculation puts the energy at -9.046 eV/atom. Its formation energy (no corrections) is -12.3 eV per formula unit.